Computed, not measured: a relaxed structure of LaLuFe4 at the PBE level of DFT.

POSCAR file:
```
LaLuFe4
1.0
0.000 3.666 3.666
3.666 0.000 3.666
3.666 3.666 0.000
La Lu Fe
1 1 4
Direct
0.000 0.000 0.000
0.750 0.750 0.750
0.376 0.376 0.376
0.376 0.376 0.873
0.376 0.873 0.376
0.873 0.376 0.376
```

**Mass density**: 9.05 g cm⁻³
**ΔE_f**: -0.02 eV/atom